No. 1
4
Lattice="-2.287 -0.561 3.578 0.666 -3.296 -2.654 7.045 -0.116 1.943" Properties=species:S:1:pos:R:3 comment="Na2AlGe (PBE-GGA, relaxed)" delta_e_f_ev_per_atom=-0.03 polymorph_energy_mev_per_atom=8 pbc="T T T"
Na 7.214 -2.953 0.330
Na 3.070 -0.530 3.170
Al 2.148 -0.914 -0.045
Ge 1.155 -2.472 1.640

No. 2
5
Lattice="-3.421 2.780 -4.009 -3.414 -1.258 2.040 0.151 4.954 3.307" Properties=species:S:1:pos:R:3 comment="ZrZnCI2 (PBE-GGA, relaxed)" formation_energy_uncorrected_mev_per_atom=525 pbc="T T T"
I 0.075 2.477 1.653
I -1.710 1.390 -2.005
Zn -3.342 3.238 0.669
C -1.707 -0.629 1.020
Zr 0.000 0.000 0.000

No. 3
8
Lattice="6.223 -0.051 -0.072 -3.108 5.392 0.072 -3.108 -1.766 5.095" Properties=species:S:1:pos:R:3 comment="Ce2Ga5Pt (PBE-GGA, relaxed)" delta_e_f_ev_per_atom=-0.55 pbc="T T T"
Ce 0.011 -0.006 3.797
Ce 0.011 3.573 1.286
Ga -1.759 2.544 3.625
Ga -3.080 3.314 1.495
Ga -3.080 0.279 3.625
Ga 1.823 0.998 1.423
Ga -1.647 0.961 1.369
Pt -6.078 3.545 5.052

No. 4
4
Lattice="3.318 0.000 0.000 0.000 3.318 0.000 -1.659 -1.659 7.759" Properties=species:S:1:pos:R:3 comment="HfTaNbAg (PBE-GGA, relaxed)" delta_e_f_ev_per_atom=0.35 pbc="T T T"
Hf 1.659 1.659 7.040
Ta 0.000 0.000 2.443
Nb 1.659 1.659 0.994
Ag 0.000 0.000 5.229

No. 5
5
Lattice="-2.986 2.881 -0.544 -0.754 0.105 4.696 2.856 3.034 0.390" Properties=species:S:1:pos:R:3 comment="YInCu2C (PBE-GGA, relaxed)" delta_e_f_ev_per_atom=0.19 pbc="T T T"
Y -0.377 0.053 2.348
C 0.000 0.000 0.000
Cu 1.428 1.517 0.195
Cu -1.493 1.441 -0.272
In -0.442 3.010 2.271

No. 6
4
Lattice="0.000 3.279 3.279 3.279 0.000 3.279 3.279 3.279 0.000" Properties=species:S:1:pos:R:3 comment="LiCd2Pt (PBE-GGA, relaxed)" delta_e_f_ev_per_atom=-0.44 polymorph_energy_mev_per_atom=0 pbc="T T T"
Li 0.000 0.000 0.000
Pt 3.279 3.279 3.279
Cd 1.640 1.640 1.640
Cd 4.919 4.919 4.919

Number 1: Fermi-level density of states 1.7 states/eV per cell. Number 2: Fermi-level density of states 5.0 states/eV per cell. Number 3: Fermi-level density of states 11.5 states/eV per cell. Number 4: Fermi-level density of states 4.0 states/eV per cell. Number 5: Fermi-level density of states 3.0 states/eV per cell. Number 6: Fermi-level density of states 1.4 states/eV per cell.